No. 1
YBeIn3 after structural relaxation. Source: Alexandria, functional PBE.

Geometry as extended XYZ:
```
5
Lattice="5.954 0.000 0.000 0.000 5.954 0.000 0.000 0.000 5.954" Properties=species:S:1:pos:R:3 pbc="T T T"
Y 0.000 0.000 0.000
Be 2.977 2.977 2.977
In 0.000 2.977 0.000
In 0.000 0.000 2.977
In 2.977 0.000 0.000
```

Properties
Symmetry ... Pm-3m, No. 221
Electronic total energy ... -12.5 eV for the cell shown
Energy above the lowest structure with this stoichiometry ... 1.055 eV per atom
DOS(E_F) ... 5.5 states/eV/f.u.

No. 2
MnAgAu2 after structural relaxation. Source: Alexandria, functional PBE.

Geometry as extended XYZ:
```
4
Lattice="3.812 0.000 0.000 0.000 4.276 0.000 0.000 0.000 4.276" Properties=species:S:1:pos:R:3 pbc="T T T"
Mn 1.906 2.138 0.000
Au 0.000 0.000 0.000
Au 0.000 2.138 2.138
Ag 1.906 0.000 2.138
```

Properties
Symmetry ... P4/mmm, No. 123
Electronic total energy ... -18.5 eV for the cell shown
DOS(E_F) ... 2.0 states/eV/f.u.